[1]
! YSb2TeN PBE relaxed; values from VASP
&SYSTEM
  ibrav = 0, nat = 5, ntyp = 4
/
ATOMIC_SPECIES
Y 88.91 Y.upf
Sb 121.76 Sb.upf
Te 127.60 Te.upf
N 14.01 N.upf
CELL_PARAMETERS angstrom
4.7593 0.0000 0.0000
0.0000 4.7593 0.0000
0.0000 0.0000 4.9510
ATOMIC_POSITIONS crystal
Y 0.0000 0.0000 0.0000
Sb 0.0000 0.5000 0.5000
Sb 0.5000 0.0000 0.5000
Te 0.5000 0.5000 0.0000
N 0.5000 0.5000 0.5000
! Spin magnetization in Bohr magnetons per cell: 0.000
! Space group: P4/mmm (123)
! Excess energy over the best structure of this formula in the dataset in meV per atom: 0

[2]
! ScSi2Tc2 PBE relaxed; values from VASP
&SYSTEM
  ibrav = 0, nat = 10, ntyp = 3
/
ATOMIC_SPECIES
Sc 44.96 Sc.upf
Si 28.09 Si.upf
Tc 98.00 Tc.upf
CELL_PARAMETERS angstrom
2.0245 -5.5631 0.0000
2.0245 5.5631 0.0000
0.0000 0.0000 7.1676
ATOMIC_POSITIONS crystal
Sc 0.0776 0.9224 0.5000
Sc 0.9224 0.0776 0.0000
Si 0.2408 0.7592 0.8194
Si 0.4465 0.5535 0.7041
Si 0.5535 0.4465 0.2041
Si 0.7592 0.2408 0.3194
Tc 0.1885 0.8115 0.1467
Tc 0.3714 0.6286 0.3798
Tc 0.6286 0.3714 0.8798
Tc 0.8115 0.1885 0.6467
! Spin magnetization in Bohr magnetons per cell: 0.000
! Space group: Cmc2_1 (36)
! Excess energy over the best structure of this formula in the dataset in meV per atom: 12

[3]
! KAlVSn2 PBE relaxed; values from VASP
&SYSTEM
  ibrav = 0, nat = 5, ntyp = 4
/
ATOMIC_SPECIES
K 39.10 K.upf
Al 26.98 Al.upf
V 50.94 V.upf
Sn 118.71 Sn.upf
CELL_PARAMETERS angstrom
5.2284 0.0000 0.0000
0.0000 5.2284 0.0000
0.0000 0.0000 5.8737
ATOMIC_POSITIONS crystal
K 0.0000 0.0000 0.0000
Al 0.5000 0.5000 0.0000
V 0.0000 0.0000 0.5000
Sn 0.0000 0.5000 0.5000
Sn 0.5000 0.0000 0.5000
! Spin magnetization in Bohr magnetons per cell: 2.033
! ΔE_f in eV per atom: 0.622
! Space group: P4/mmm (123)

[4]
! CaNdPd PBE relaxed; values from VASP
&SYSTEM
  ibrav = 0, nat = 3, ntyp = 3
/
ATOMIC_SPECIES
Ca 40.08 Ca.upf
Nd 144.24 Nd.upf
Pd 106.42 Pd.upf
CELL_PARAMETERS angstrom
0.0000 3.5481 3.5481
3.5481 0.0000 3.5481
3.5481 3.5481 0.0000
ATOMIC_POSITIONS crystal
Ca 0.0000 0.0000 0.0000
Nd 0.5000 0.5000 0.5000
Pd 0.2500 0.2500 0.2500
! Spin magnetization in Bohr magnetons per cell: 0.000
! ΔE_f in eV per atom: -0.425
! Space group: F-43m (216)
! Excess energy over the best structure of this formula in the dataset in meV per atom: 89

[5]
! La2Be2W PBE relaxed; values from VASP
&SYSTEM
  ibrav = 0, nat = 10, ntyp = 3
/
ATOMIC_SPECIES
La 138.91 La.upf
Be 9.01 Be.upf
W 183.84 W.upf
CELL_PARAMETERS angstrom
6.6619 0.0000 0.0000
0.0000 6.6619 0.0000
0.0000 0.0000 4.6158
ATOMIC_POSITIONS crystal
La 0.1825 0.3175 0.0000
La 0.3175 0.8175 0.0000
La 0.6825 0.1825 0.0000
La 0.8175 0.6825 0.0000
Be 0.1281 0.6281 0.5000
Be 0.3719 0.1281 0.5000
Be 0.6281 0.8719 0.5000
Be 0.8719 0.3719 0.5000
W 0.0000 0.0000 0.5000
W 0.5000 0.5000 0.5000
! Spin magnetization in Bohr magnetons per cell: 0.868
! ΔE_f in eV per atom: 0.562
! Space group: P4/mbm (127)
! Excess energy over the best structure of this formula in the dataset in meV per atom: 0

[6]
! La2Zn3CdGe4 PBE relaxed; values from VASP
&SYSTEM
  ibrav = 0, nat = 10, ntyp = 4
/
ATOMIC_SPECIES
La 138.91 La.upf
Zn 65.41 Zn.upf
Cd 112.41 Cd.upf
Ge 72.64 Ge.upf
CELL_PARAMETERS angstrom
4.5244 0.0000 0.0000
0.0000 4.5244 0.0000
0.0000 0.0000 10.3404
ATOMIC_POSITIONS crystal
La 0.0000 0.5000 0.2346
La 0.5000 0.0000 0.7654
Zn 0.0000 0.5000 0.8822
Zn 0.5000 0.0000 0.1178
Zn 0.5000 0.5000 0.5000
Cd 0.0000 0.0000 0.5000
Ge 0.0000 0.0000 0.0000
Ge 0.0000 0.5000 0.6454
Ge 0.5000 0.0000 0.3546
Ge 0.5000 0.5000 0.0000
! Spin magnetization in Bohr magnetons per cell: 0.000
! ΔE_f in eV per atom: -0.424
! Space group: P-4m2 (115)

[7]
! FeCo PBE relaxed; values from VASP
&SYSTEM
  ibrav = 0, nat = 4, ntyp = 2
/
ATOMIC_SPECIES
Fe 55.84 Fe.upf
Co 58.93 Co.upf
CELL_PARAMETERS angstrom
-1.7528 1.7528 3.7066
1.7528 -1.7528 3.7066
1.7528 1.7528 -3.7066
ATOMIC_POSITIONS crystal
Fe 0.3750 0.6250 0.7500
Fe 0.6250 0.3750 0.2500
Co 0.1250 0.8750 0.2500
Co 0.8750 0.1250 0.7500
! Spin magnetization in Bohr magnetons per cell: 8.302
! ΔE_f in eV per atom: 0.047
! Space group: I4_1/amd (141)

The highest spin magnetization belongs to which entry? FeCo

Which value of spin magnetization does entry 3 give? 2.033 Bohr magnetons per cell

Please write out number 2 again, unchanged.
! ScSi2Tc2 PBE relaxed; values from VASP
&SYSTEM
  ibrav = 0, nat = 10, ntyp = 3
/
ATOMIC_SPECIES
Sc 44.96 Sc.upf
Si 28.09 Si.upf
Tc 98.00 Tc.upf
CELL_PARAMETERS angstrom
2.0245 -5.5631 0.0000
2.0245 5.5631 0.0000
0.0000 0.0000 7.1676
ATOMIC_POSITIONS crystal
Sc 0.0776 0.9224 0.5000
Sc 0.9224 0.0776 0.0000
Si 0.2408 0.7592 0.8194
Si 0.4465 0.5535 0.7041
Si 0.5535 0.4465 0.2041
Si 0.7592 0.2408 0.3194
Tc 0.1885 0.8115 0.1467
Tc 0.3714 0.6286 0.3798
Tc 0.6286 0.3714 0.8798
Tc 0.8115 0.1885 0.6467
! Spin magnetization in Bohr magnetons per cell: 0.000
! Space group: Cmc2_1 (36)
! Excess energy over the best structure of this formula in the dataset in meV per atom: 12